Entry 1:
PtBr | PBE | optimized geometry

Values from the calculation:
The calculation puts the density at 10.13 g cm⁻³. For the electronic total energy, the calculation gives -43.0 eV per cell. The calculated volume is 22.55 Å³ per atom.

Structure (CIF):
```
data_PtBr
_cell_length_a 8.440
_cell_length_b 3.740
_cell_length_c 8.571
_cell_angle_alpha 90.00
_cell_angle_beta 90.00
_cell_angle_gamma 90.00
_symmetry_space_group_name_H-M 'P m n 21'
_symmetry_Int_Tables_number 31
_symmetry_space_group_name_Hall 'P 2ac -2'
loop_
_atom_site_label
_atom_site_type_symbol
_atom_site_fract_x
_atom_site_fract_y
_atom_site_fract_z
Pt1 Pt 0.000 0.066 0.000
Pt2 Pt 0.227 0.515 0.086
Br1 Br 0.000 0.283 0.704
Br2 Br 0.190 0.217 0.339
```



Entry 2:
PtBr5 | PBE | optimized geometry

Values from the calculation:
The calculation puts the density at 4.62 g cm⁻³. The energy above the most stable polymorph in this dataset comes out at 7 meV/atom. The calculated volume is 35.65 Å³ per atom.

Structure (CIF):
```
data_PtBr5
_cell_length_a 8.793
_cell_length_b 3.693
_cell_length_c 13.173
_cell_angle_alpha 90.00
_cell_angle_beta 90.00
_cell_angle_gamma 90.00
_symmetry_space_group_name_H-M 'A m m 2'
_symmetry_Int_Tables_number 38
_symmetry_space_group_name_Hall 'A 2 -2'
loop_
_atom_site_label
_atom_site_type_symbol
_atom_site_fract_x
_atom_site_fract_y
_atom_site_fract_z
Pt1 Pt 0.000 0.000 0.000
Br1 Br 0.000 0.000 0.376
Br2 Br 0.000 0.000 0.624
Br3 Br 0.500 0.000 0.150
Br4 Br 0.500 0.000 0.483
Br5 Br 0.500 0.000 0.817
```



Entry 3:
PtBr | PBE | optimized geometry

Values from the calculation:
The calculation puts the density at 9.75 g cm⁻³. For the electronic total energy, the calculation gives -43.1 eV per cell. The calculated volume is 23.42 Å³ per atom.

Structure (CIF):
```
data_PtBr
_cell_length_a 5.272
_cell_length_b 11.193
_cell_length_c 4.763
_cell_angle_alpha 90.00
_cell_angle_beta 90.00
_cell_angle_gamma 90.00
_symmetry_space_group_name_H-M 'P m m n'
_symmetry_Int_Tables_number 59
loop_
_symmetry_equiv_pos_as_xyz
'x,y,z'
'-x,-y,-z'
'-x+1/2,-y+1/2,z'
'x+1/2,y+1/2,-z'
'x+1/2,-y,-z'
'-x+1/2,y,z'
'-x,y+1/2,-z'
'x,-y+1/2,z'
loop_
_atom_site_label
_atom_site_type_symbol
_atom_site_fract_x
_atom_site_fract_y
_atom_site_fract_z
Pt1 Pt 0.250 0.017 0.011
Pt2 Pt 0.250 0.250 0.018
Br1 Br 0.250 0.093 0.513
Br2 Br 0.250 0.750 0.028
```



Entry 4:
Pt2Br | PBE | optimized geometry

Values from the calculation:
The calculation puts the density at 13.29 g cm⁻³. The energy above the most stable polymorph in this dataset comes out at 186 meV/atom. The calculated volume is 19.58 Å³ per atom.

Structure (CIF):
```
data_Pt2Br
_cell_length_a 3.7112
_cell_length_b 3.7112
_cell_length_c 4.9243
_cell_angle_alpha 90.00
_cell_angle_beta 90.00
_cell_angle_gamma 120.00
_symmetry_space_group_name_H-M 'P -3 m 1'
_symmetry_Int_Tables_number 164
_symmetry_space_group_name_Hall '-P 3 2"'
loop_
_atom_site_label
_atom_site_type_symbol
_atom_site_fract_x
_atom_site_fract_y
_atom_site_fract_z
Pt1 Pt 0.3333 0.6667 0.3506
Br1 Br 0.0000 0.0000 0.0000
```



Entry 5:
Pt2Br | PBE | optimized geometry

Values from the calculation:
The calculation puts the density at 13.02 g cm⁻³. The energy above the most stable polymorph in this dataset comes out at 340 meV/atom. The calculated volume is 19.99 Å³ per atom.

Structure (CIF):
```
data_Pt2Br
_cell_length_a 13.494
_cell_length_b 2.975
_cell_length_c 6.904
_cell_angle_alpha 90.00
_cell_angle_beta 120.06
_cell_angle_gamma 90.00
_symmetry_space_group_name_H-M 'C 1 m 1'
_symmetry_Int_Tables_number 8
_symmetry_space_group_name_Hall 'C -2y'
loop_
_atom_site_label
_atom_site_type_symbol
_atom_site_fract_x
_atom_site_fract_y
_atom_site_fract_z
Pt1 Pt 0.000 0.000 0.000
Pt2 Pt 0.055 0.500 0.421
Pt3 Pt 0.119 0.500 0.869
Pt4 Pt 0.305 0.000 0.926
Br1 Br 0.231 0.000 0.522
Br2 Br 0.380 0.500 0.322
```



Entry 6:
Pt3Br2 | PBE | optimized geometry

Values from the calculation:
The calculation puts the density at 12.49 g cm⁻³. The energy above the most stable polymorph in this dataset comes out at 151 meV/atom. The calculated volume is 19.82 Å³ per atom.

Structure (CIF):
```
data_Pt3Br2
_cell_length_a 3.7619
_cell_length_b 3.7619
_cell_length_c 24.2555
_cell_angle_alpha 90.00
_cell_angle_beta 90.00
_cell_angle_gamma 120.00
_symmetry_space_group_name_H-M 'R -3 m'
_symmetry_Int_Tables_number 166
_symmetry_space_group_name_Hall '-R 3 2"'
loop_
_atom_site_label
_atom_site_type_symbol
_atom_site_fract_x
_atom_site_fract_y
_atom_site_fract_z
Pt1 Pt 0.0000 0.0000 0.0000
Pt2 Pt 0.0000 0.0000 0.1962
Br1 Br 0.0000 0.0000 0.4022
```



Entry 7:
Pt5Br | PBE | optimized geometry

Values from the calculation:
The calculation puts the density at 17.24 g cm⁻³. The energy above the most stable polymorph in this dataset comes out at 0 meV/atom. The calculated volume is 16.94 Å³ per atom.

Structure (CIF):
```
data_Pt5Br
_cell_length_a 2.973
_cell_length_b 2.973
_cell_length_c 11.505
_cell_angle_alpha 90.00
_cell_angle_beta 90.00
_cell_angle_gamma 90.00
_symmetry_space_group_name_H-M 'P 4/m m m'
_symmetry_Int_Tables_number 123
_symmetry_space_group_name_Hall '-P 4 2'
loop_
_atom_site_label
_atom_site_type_symbol
_atom_site_fract_x
_atom_site_fract_y
_atom_site_fract_z
Pt1 Pt 0.000 0.000 0.000
Pt2 Pt 0.000 0.000 0.311
Pt3 Pt 0.500 0.500 0.154
Br1 Br 0.500 0.500 0.500
```



Entry 8:
PtBr | PBE | optimized geometry

Values from the calculation:
The calculation puts the density at 11.59 g cm⁻³. For the electronic total energy, the calculation gives -12.8 eV per cell. The calculated volume is 19.70 Å³ per atom.

Structure (CIF):
```
data_PtBr
_cell_length_a 3.4429
_cell_length_b 3.4429
_cell_length_c 7.6781
_cell_angle_alpha 90.00
_cell_angle_beta 90.00
_cell_angle_gamma 120.00
_symmetry_space_group_name_H-M 'P 63/m m c'
_symmetry_Int_Tables_number 194
_symmetry_space_group_name_Hall '-P 6c 2c'
loop_
_atom_site_label
_atom_site_type_symbol
_atom_site_fract_x
_atom_site_fract_y
_atom_site_fract_z
Pt1 Pt 0.3333 0.6667 0.2500
Br1 Br 0.0000 0.0000 0.0000
```